Below is crystalline Dy3TmIn3 at its relaxed geometry, with properties calculated at the PBE level.

abc: 9.292 9.292 5.167
angles: 90.00 90.00 120.00
Positions (direct):
Dy  0.004  0.235  0.250
Dy  0.231  0.996  0.250
Dy  0.235  0.231  0.750
Dy  0.765  0.769  0.250
Dy  0.769  0.004  0.750
Dy  0.996  0.765  0.750
Tm  0.333  0.667  0.250
Tm  0.667  0.333  0.750
In  0.073  0.456  0.750
In  0.383  0.927  0.750
In  0.456  0.383  0.250
In  0.544  0.617  0.750
In  0.617  0.073  0.250
In  0.927  0.544  0.250

Properties
The calculation puts the mass density at 8.60 g/cm³. The calculation puts the energy of formation from the pure elements at -312 meV/atom. Its space group is P6_3/m. The energy above the lowest structure with this stoichiometry comes out at 0 meV/atom. The value obtained for the total moment is 0.0 μB/cell.


Below is crystalline ErPu2Sc at its relaxed geometry, with properties calculated at the PBE level.

abc: 3.274 3.274 35.365
angles: 90.00 90.00 120.00
Positions (direct):
Er  0.000  0.000  0.000
Er  0.333  0.667  0.667
Er  0.667  0.333  0.333
Pu  0.000  0.000  0.089
Pu  0.000  0.000  0.911
Pu  0.333  0.667  0.578
Pu  0.333  0.667  0.755
Pu  0.667  0.333  0.245
Pu  0.667  0.333  0.422
Sc  0.000  0.000  0.500
Sc  0.333  0.667  0.167
Sc  0.667  0.333  0.833

Properties
The calculation puts the mass density at 10.63 g/cm³. The calculation puts the energy of formation from the pure elements at 322 meV/atom. Its space group is R-3m. The energy above the lowest structure with this stoichiometry comes out at 162 meV/atom. The value obtained for the total moment is 35.0 μB/cell.


Below is crystalline BaTmCu2Br8 at its relaxed geometry, with properties calculated at the PBE level.

abc: 6.600 6.600 9.631
angles: 90.48 90.48 73.75
Positions (direct):
Ba  0.000  0.000  0.000
Tm  0.000  0.000  0.500
Cu  0.346  0.346  0.730
Cu  0.654  0.654  0.270
Br  0.234  0.756  0.714
Br  0.244  0.766  0.286
Br  0.261  0.261  0.502
Br  0.307  0.307  0.969
Br  0.693  0.693  0.031
Br  0.739  0.739  0.498
Br  0.756  0.234  0.714
Br  0.766  0.244  0.286

Properties
The calculation puts the mass density at 4.42 g/cm³. For the formation energy without anion corrections, the calculation gives -1.238 eV per atom. Its space group is C2/m. The value obtained for the total moment is 1.1 μB/cell.


Below is crystalline V6P3C at its relaxed geometry, with properties calculated at the PBE level.

abc: 5.648 5.648 6.194
angles: 120.28 120.28 54.75
Positions (direct):
V  0.168  0.667  0.642
V  0.231  0.231  0.839
V  0.333  0.832  0.358
V  0.667  0.168  0.642
V  0.769  0.769  0.161
V  0.832  0.333  0.358
P  0.245  0.245  0.244
P  0.500  0.500  0.000
P  0.755  0.755  0.756
C  0.000  0.000  0.500

Properties
The calculation puts the mass density at 5.13 g/cm³. The calculation puts the energy of formation from the pure elements at -436 meV/atom. Its space group is C2/m. The value obtained for the total moment is 0.0 μB/cell.


Total energy for every record listed, in sequence, given in eV per atom: -4.10 -9.57 -3.57 -8.45.